VASP calculation (PBE-GGA) on crystalline CaInSi2 at its relaxed geometry.

a = 3.497 Å, b = 3.497 Å, c = 7.047 Å
α = 90.00°, β = 90.00°, γ = 90.00°
Element x y z (fractional)
Si1 0.500 0.500 0.183
Si2 0.000 0.000 0.053
In1 0.500 0.500 0.796
Ca1 0.000 0.000 0.467

Crystal system: tetragonal
DOS(E_F) (states/eV/cell): 1.3
Formation energy (no corrections) (eV/atom): -0.04
ρ (g/cm3): 4.07